Below is a relaxed BaBF3 crystal, with properties calculated at the PBE level.

Lattice parameters (Å, degrees): 5.075 5.075 5.075 90.00 90.00 90.00
Atoms (fractional coordinates):
B (0.500, 0.500, 0.500)
F (0.000, 0.000, 0.500)
F (0.500, 0.000, 0.000)
F (0.000, 0.500, 0.000)
Ba (0.000, 0.000, 0.000)

## Properties
total moment: 0.0 μB per formula unit
VASP energy: -21.3 eV per cell
formation energy from raw total energies: -7.09 eV per formula unit


Below is a relaxed BaBH2F8 crystal, with properties calculated at the PBE level.

Lattice parameters (Å, degrees): 5.048 4.482 7.560 83.30 97.23 69.91
Each line ends with the local moment (μB).
Atoms (fractional coordinates):
Ba (0.000, 0.000, 0.500)  0.00
F (0.814, 0.818, 0.991)  0.25
F (0.186, 0.182, 0.009)  0.25
F (0.179, 0.798, 0.879)  0.24
F (0.692, 0.656, 0.396)  0.02
F (0.261, 0.683, 0.243)  0.03
F (0.821, 0.202, 0.121)  0.24
F (0.308, 0.344, 0.604)  0.02
F (0.739, 0.317, 0.757)  0.03
B (0.000, 0.000, 0.000)  -0.02
H (0.476, 0.672, 0.302)  0.00
H (0.524, 0.328, 0.698)  0.00

## Properties
total moment: 1.2 μB per formula unit
VASP energy: -56.9 eV per cell


Below is a relaxed BaB2H8F crystal, with properties calculated at the PBE level.

Lattice parameters (Å, degrees): 5.570 5.570 5.238 77.19 77.19 69.22
Each line ends with the local moment (μB).
Atoms (fractional coordinates):
Ba (0.000, 0.000, 0.500)  0.00
H (0.536, 0.219, 0.760)  0.01
H (0.192, 0.192, 0.831)  0.05
H (0.808, 0.808, 0.169)  0.05
H (0.219, 0.536, 0.760)  0.01
H (0.464, 0.781, 0.240)  0.01
H (0.678, 0.678, 0.550)  0.00
H (0.322, 0.322, 0.450)  0.00
H (0.781, 0.464, 0.240)  0.01
B (0.329, 0.329, 0.681)  0.07
B (0.671, 0.671, 0.319)  0.07
F (0.000, 0.000, 0.000)  0.14

## Properties
total moment: 0.5 μB per formula unit
VASP energy: -49.2 eV per cell


Question: Among the records above, which one has the lowest VASP energy?
Answer: BaBH2F8


Question: What is the VASP energy in the third record?
Answer: -49.2 eV per cell


Question: Which value of total moment does entry 1 give?
Answer: 0.0 μB per formula unit